# Ca7Sn5Bi | the Alexandria database | GGA-PBE | relaxed
# Energy of formation (meV/atom): -527.5
# Density (kg/m³): 4051
data_Ca7Sn5Bi
_space_group_name_H-M_alt 'C 1 m 1'
_space_group_IT_number 8
_cell_length_a 12.6429
_cell_length_b 11.5847
_cell_length_c 7.4047
_cell_angle_alpha 90.00
_cell_angle_beta 125.04
_cell_angle_gamma 90.00
loop_
_space_group_symop_operation_xyz
'x,y,z'
'x,-y,z'
'x+1/2,y+1/2,z'
'x+1/2,-y+1/2,z'
loop_
_atom_site_label
_atom_site_fract_x
_atom_site_fract_y
_atom_site_fract_z
Ca1 0.0000 0.0000 0.0000
Ca2 0.0061 0.0000 0.5211
Ca3 0.1833 0.3002 0.2415
Ca4 0.2428 0.2513 0.8131
Ca5 0.4479 0.0000 0.6558
Sn1 0.2945 0.0000 0.1087
Sn2 0.4573 0.2747 0.7203
Sn3 0.4640 0.2141 0.3355
Bi1 0.2563 0.5000 0.0278



# Ca2SnBi4 | the Alexandria database | GGA-PBE | relaxed
# Energy of formation (meV/atom): -246.8
# Distance to the lowest polymorph of the same formula (meV/atom): 174
# Density (kg/m³): 6834
data_Ca2SnBi4
_space_group_name_H-M_alt 'I 4/m m m'
_space_group_IT_number 139
_space_group_name_Hall '-I 4 2'
_cell_length_a 7.4776
_cell_length_b 7.4776
_cell_length_c 8.9931
_cell_angle_alpha 90.00
_cell_angle_beta 90.00
_cell_angle_gamma 90.00
loop_
_atom_site_label
_atom_site_fract_x
_atom_site_fract_y
_atom_site_fract_z
Ca1 0.0000 0.5000 0.2500
Sn1 0.0000 0.0000 0.0000
Bi1 0.2168 0.2168 0.5000



# Ca2SnBi6 | the Alexandria database | GGA-PBE | relaxed
# Energy of formation (meV/atom): -285.6
# Density (kg/m³): 8507
data_Ca2SnBi6
_space_group_name_H-M_alt 'C 1 2/m 1'
_space_group_IT_number 12
_cell_length_a 16.6184
_cell_length_b 4.6585
_cell_length_c 8.0543
_cell_angle_alpha 90.00
_cell_angle_beta 114.55
_cell_angle_gamma 90.00
loop_
_space_group_symop_operation_xyz
'x,y,z'
'-x,-y,-z'
'-x,y,-z'
'x,-y,z'
'x+1/2,y+1/2,z'
'-x+1/2,-y+1/2,-z'
'-x+1/2,y+1/2,-z'
'x+1/2,-y+1/2,z'
loop_
_atom_site_label
_atom_site_fract_x
_atom_site_fract_y
_atom_site_fract_z
Ca1 0.0583 0.0000 0.3281
Sn1 0.0000 0.5000 0.0000
Bi1 0.0950 0.5000 0.6598
Bi2 0.1619 0.0000 0.0207
Bi3 0.2105 0.5000 0.3259



# CaSn3Bi3 | the Alexandria database | GGA-PBE | relaxed
# Energy of formation (meV/atom): 244.1
# Density (kg/m³): 5459
data_CaSn3Bi3
_space_group_name_H-M_alt 'P m -3 n'
_space_group_IT_number 223
_space_group_name_Hall '-P 4n 2 3'
_cell_length_a 8.5385
_cell_length_b 8.5385
_cell_length_c 8.5385
_cell_angle_alpha 90.00
_cell_angle_beta 90.00
_cell_angle_gamma 90.00
loop_
_atom_site_label
_atom_site_fract_x
_atom_site_fract_y
_atom_site_fract_z
Ca1 0.0000 0.0000 0.0000
Sn1 0.0000 0.2500 0.5000
Bi1 0.0000 0.5000 0.2500